KBeSe | PBE | relaxed

Geometry as extended XYZ:
```
12
Lattice="4.7408 0.0000 0.0000 0.0000 4.8701 0.0000 0.0000 0.0000 14.8178" Properties=species:S:1:pos:R:3 pbc="T T T"
K 0.0000 0.0000 2.2242
K 0.0000 0.0000 12.5937
K 2.3704 2.4351 5.1848
K 2.3704 2.4351 9.6331
Be 1.0988 2.4351 0.0000
Be 1.2716 0.0000 7.4089
Be 3.4692 0.0000 7.4089
Be 3.6420 2.4351 0.0000
Se 0.0000 0.0000 5.6077
Se 0.0000 0.0000 9.2102
Se 2.3704 2.4351 1.8013
Se 2.3704 2.4351 13.0166
```

Values from the calculation:
- SG: Immm, No. 71
- Energy above the lowest structure with this stoichiometry: 0.00 eV per formula unit
- Total DFT energy (no corrections): -3.41 eV per atom
- Crystal system: orthorhombic